(1)
## Ba4H3N2 (PBE-GGA)

Data for a relaxed Ba4H3N2 crystal.

Calculated values
SG = No. 12
Calculated density = 4.58 g cm⁻³
Total magnetization = 0.11 μB per atom
Energy = -4.128 eV/atom
DOS at the Fermi energy = 4.0 states/eV/f.u.

Cell: 4.307 7.886 6.927 Å, 110.59 90.00 105.85°
Sites, in units of the cell vectors:
1 H 0.438 0.876 0.604
2 H 0.000 0.000 0.000
3 Ba 0.850 0.700 0.653
4 Ba 0.150 0.300 0.347
5 Ba 0.630 0.260 0.834
6 N 0.231 0.462 0.753
7 H 0.562 0.124 0.396
8 N 0.769 0.538 0.247
9 Ba 0.370 0.740 0.166

=====

(2)
## BaH4N (PBE-GGA)

Data for a relaxed BaH4N crystal.

Calculated values
SG = No. 13
Calculated density = 1.99 g cm⁻³
Total magnetization = 0.04 μB per atom
Energy = -3.899 eV/atom
DOS at the Fermi energy = 3.0 states/eV/f.u.

Cell: 4.707 7.365 7.490 Å, 90.00 90.00 89.90°
Sites, in units of the cell vectors:
1 H 0.000 0.134 0.825
2 H 0.000 0.866 0.175
3 H 0.000 0.366 0.825
4 H 0.183 0.750 0.338
5 H 0.817 0.250 0.662
6 H 0.817 0.750 0.338
7 Ba 0.500 0.250 0.223
8 Ba 0.500 0.750 0.777
9 H 0.183 0.250 0.662
10 N 0.000 0.250 0.742
11 H 0.000 0.634 0.175
12 N 0.000 0.750 0.258

=====

(3)
## Ba4H6N (PBE-GGA)

Data for a relaxed Ba4H6N crystal.

Calculated values
SG = No. 137
Calculated density = 3.68 g cm⁻³
Total magnetization = 0.09 μB per atom
Energy = -3.637 eV/atom
DOS at the Fermi energy = 5.5 states/eV/f.u.

Cell: 6.440 8.930 8.930 Å, 90.00 90.00 90.00°
Sites, in units of the cell vectors:
1 Ba 0.792 0.757 0.500
2 Ba 0.208 0.500 0.243
3 H 0.500 0.277 0.277
4 N 0.000 0.500 0.500
5 H 0.500 0.723 0.277
6 N 0.500 0.000 0.000
7 H 0.000 0.223 0.777
8 H 0.500 0.723 0.723
9 H 0.535 0.000 0.500
10 H 0.000 0.777 0.777
11 H 0.500 0.277 0.723
12 H 0.000 0.777 0.223
13 Ba 0.292 0.000 0.257
14 H 0.965 0.500 0.000
15 Ba 0.208 0.500 0.757
16 Ba 0.708 0.257 0.000
17 H 0.035 0.000 0.500
18 H 0.000 0.223 0.223
19 Ba 0.292 0.000 0.743
20 H 0.465 0.500 0.000
21 Ba 0.708 0.743 0.000
22 Ba 0.792 0.243 0.500